(1)
Here is CeSnHgPd after structural relaxation from Alexandria via LeMat-Bulk. Energies are from PBE.

a b c (Å): 5.055 5.055 5.055
angles (deg): 60.00 60.00 60.00
Last column: magnetic moment on the atom in μB.
Fractional positions:
1 Hg 0.000 0.000 0.000  -0.01
2 Sn 0.250 0.250 0.250  -0.01
3 Ce 0.750 0.750 0.750  0.51
4 Pd 0.500 0.500 0.500  -0.02

Summary:
For the uncorrected energy, the calculation gives -4.39 eV/atom. The value obtained for the calculated density is 10.286 g cm⁻³. As for the formation energy from the elements: -527 meV/atom. Its density of states at the Fermi level is 5.88 states/eV/f.u. The space-group type is No. 216. The value obtained for the volume is 22.84 A^3/atom.



(2)
Here is Ce2Sn3HgPd4 after structural relaxation from Alexandria via LeMat-Bulk. Energies are from PBE.

a b c (Å): 4.549 4.549 10.959
angles (deg): 90.00 90.00 90.00
Last column: magnetic moment on the atom in μB.
Fractional positions:
1 Hg 0.500 0.500 0.500  0.01
2 Sn 0.500 0.000 0.874  0.00
3 Sn 0.000 0.500 0.126  0.00
4 Sn 0.000 0.000 0.500  0.00
5 Pd 0.000 0.500 0.361  0.00
6 Pd 0.500 0.500 0.000  0.00
7 Pd 0.500 0.000 0.639  0.00
8 Pd 0.000 0.000 0.000  0.00
9 Ce 0.000 0.500 0.753  0.88
10 Ce 0.500 0.000 0.247  0.88

Summary:
For the uncorrected energy, the calculation gives -5.12 eV/atom. The value obtained for the calculated density is 9.246 g cm⁻³. As for the formation energy from the elements: -626 meV/atom. Its density of states at the Fermi level is 16.04 states/eV/f.u. The space-group type is No. 115. The value obtained for the volume is 22.68 A^3/atom.



(3)
Here is SrCeHgPd after structural relaxation from Alexandria via LeMat-Bulk. Energies are from PBE.

a b c (Å): 5.344 5.344 5.344
angles (deg): 60.00 60.00 60.00
Last column: magnetic moment on the atom in μB.
Fractional positions:
1 Pd 0.000 0.000 0.000  -0.01
2 Ce 0.250 0.250 0.250  0.85
3 Sr 0.750 0.750 0.750  0.00
4 Hg 0.500 0.500 0.500  0.01

Summary:
For the uncorrected energy, the calculation gives -3.70 eV/atom. The value obtained for the calculated density is 8.231 g cm⁻³. As for the formation energy from the elements: -418 meV/atom. Its density of states at the Fermi level is 8.24 states/eV/f.u. The space-group type is No. 216. The value obtained for the volume is 26.97 A^3/atom.



(4)
Here is TbCeHgPd after structural relaxation from Alexandria via LeMat-Bulk. Energies are from PBE.

a b c (Å): 5.194 5.194 5.194
angles (deg): 60.00 60.00 60.00
Last column: magnetic moment on the atom in μB.
Fractional positions:
1 Tb 0.250 0.250 0.250  0.06
2 Ce 0.750 0.750 0.750  0.75
3 Hg 0.500 0.500 0.500  0.01
4 Pd 0.000 0.000 0.000  -0.01

Summary:
For the uncorrected energy, the calculation gives -4.52 eV/atom. The value obtained for the calculated density is 10.158 g cm⁻³. As for the formation energy from the elements: -507 meV/atom. Its density of states at the Fermi level is 8.59 states/eV/f.u. The space-group type is No. 216. The value obtained for the volume is 24.77 A^3/atom.



(5)
Here is CeTlHgPd after structural relaxation from Alexandria via LeMat-Bulk. Energies are from PBE.

a b c (Å): 5.095 5.095 5.095
angles (deg): 60.00 60.00 60.00
Last column: magnetic moment on the atom in μB.
Fractional positions:
1 Tl 0.000 0.000 0.000  0.00
2 Pd 0.750 0.750 0.750  -0.03
3 Hg 0.250 0.250 0.250  -0.01
4 Ce 0.500 0.500 0.500  0.67

Summary:
For the uncorrected energy, the calculation gives -3.82 eV/atom. The value obtained for the calculated density is 11.570 g cm⁻³. As for the formation energy from the elements: -374 meV/atom. Its density of states at the Fermi level is 6.16 states/eV/f.u. The space-group type is No. 216. The value obtained for the volume is 23.38 A^3/atom.



(6)
Here is CeTmHgPd after structural relaxation from Alexandria via LeMat-Bulk. Energies are from PBE.

a b c (Å): 5.155 5.155 5.155
angles (deg): 60.00 60.00 60.00
Last column: magnetic moment on the atom in μB.
Fractional positions:
1 Tm 0.250 0.250 0.250  0.06
2 Ce 0.750 0.750 0.750  0.72
3 Hg 0.000 0.000 0.000  0.02
4 Pd 0.500 0.500 0.500  0.00

Summary:
For the uncorrected energy, the calculation gives -4.49 eV/atom. The value obtained for the calculated density is 10.561 g cm⁻³. As for the formation energy from the elements: -519 meV/atom. Its density of states at the Fermi level is 8.37 states/eV/f.u. The space-group type is No. 216. The value obtained for the volume is 24.22 A^3/atom.



(7)
Here is CeZnHgPd after structural relaxation from Alexandria via LeMat-Bulk. Energies are from PBE.

a b c (Å): 4.887 4.887 4.887
angles (deg): 60.00 60.00 60.00
Last column: magnetic moment on the atom in μB.
Fractional positions:
1 Pd 0.500 0.500 0.500  -0.01
2 Hg 0.250 0.250 0.250  0.01
3 Ce 0.750 0.750 0.750  0.40
4 Zn 0.000 0.000 0.000  0.00

Summary:
For the uncorrected energy, the calculation gives -3.56 eV/atom. The value obtained for the calculated density is 10.311 g cm⁻³. As for the formation energy from the elements: -386 meV/atom. Its density of states at the Fermi level is 6.76 states/eV/f.u. The space-group type is No. 216. The value obtained for the volume is 20.64 A^3/atom.



(8)
Here is Ce2PmHg4 after structural relaxation from Alexandria via LeMat-Bulk. Energies are from PBE.

a b c (Å): 3.474 5.891 9.937
angles (deg): 107.24 90.00 90.00
Last column: magnetic moment on the atom in μB.
Fractional positions:
1 Hg 0.500 0.352 0.704  0.00
2 Hg 0.500 0.648 0.296  0.00
3 Hg 0.000 0.214 0.428  0.00
4 Hg 0.000 0.786 0.572  0.00
5 Ce 0.500 0.070 0.139  0.58
6 Ce 0.500 0.930 0.861  0.58
7 Pm 0.000 0.500 0.000  0.00

Summary:
For the uncorrected energy, the calculation gives -2.64 eV/atom. The value obtained for the calculated density is 10.496 g cm⁻³. As for the formation energy from the elements: -95 meV/atom. Its density of states at the Fermi level is 11.01 states/eV/f.u. The space-group type is No. 65. The value obtained for the volume is 27.75 A^3/atom.